1.
MnVBi3: optimized geometry, PBE-GGA.

a b c (Å): 5.289 5.289 5.289
angles (deg): 90.00 90.00 90.00
Each line ends with the local moment (μB).
Positions (direct):
1 Mn 0.500 0.500 0.500  4.36
2 Bi 0.000 0.500 0.000  -0.13
3 Bi 0.000 0.000 0.500  -0.13
4 Bi 0.500 0.000 0.000  -0.13
5 V 0.000 0.000 0.000  0.60

Computed properties:
For the distance to the lowest polymorph of the same formula, the calculation gives 0.0 meV/atom. The density of states at the Fermi level comes out at 0.770 states/eV/atom. The value obtained for the total magnetic moment is 4.97 Bohr magnetons per cell.

=====

2.
Tm3ZnCu3: optimized geometry, PBE-GGA.

a b c (Å): 4.198 5.568 13.042
angles (deg): 84.52 80.74 67.85
Positions (direct):
1 Tm 0.534 0.318 0.615
2 Tm 0.466 0.682 0.385
3 Tm 0.254 0.261 0.231
4 Tm 0.746 0.739 0.769
5 Tm 0.392 0.293 0.923
6 Tm 0.608 0.707 0.077
7 Zn 0.756 0.090 0.398
8 Zn 0.244 0.910 0.602
9 Cu 0.873 0.708 0.545
10 Cu 0.127 0.292 0.455
11 Cu 0.108 0.861 0.923
12 Cu 0.892 0.139 0.077
13 Cu 0.969 0.830 0.232
14 Cu 0.031 0.170 0.768

Computed properties:
The density of states at the Fermi level comes out at 0.819 states/eV/atom. The electronic total energy is -4.13 eV/atom. The value obtained for the total magnetic moment is 0.00 Bohr magnetons per cell.

=====

3.
SrNp3P4N12: optimized geometry, PBE-GGA.

a b c (Å): 6.913 6.913 6.913
angles (deg): 103.53 103.53 103.53
Each line ends with the local moment (μB).
Positions (direct):
1 Sr 0.000 0.000 0.000  0.00
2 Np 0.550 0.450 0.000  2.61
3 Np 0.450 0.000 0.550  2.61
4 Np 0.000 0.550 0.450  2.61
5 P 0.946 0.054 0.500  0.01
6 P 0.054 0.500 0.946  0.01
7 P 0.500 0.946 0.054  0.01
8 P 0.500 0.500 0.500  0.02
9 N 0.500 0.354 0.646  -0.08
10 N 0.906 0.500 0.094  -0.09
11 N 0.094 0.906 0.500  -0.09
12 N 0.500 0.094 0.906  -0.09
13 N 0.374 0.973 0.216  -0.06
14 N 0.216 0.374 0.973  -0.06
15 N 0.973 0.216 0.374  -0.06
16 N 0.626 0.784 0.027  -0.06
17 N 0.027 0.626 0.784  -0.06
18 N 0.784 0.027 0.626  -0.06
19 N 0.646 0.500 0.354  -0.08
20 N 0.354 0.646 0.500  -0.08

Computed properties:
The calculation puts the formation energy from raw total energies at -0.597 eV per atom. The density of states at the Fermi level comes out at 1.108 states/eV/atom. The value obtained for the total magnetic moment is 7.00 Bohr magnetons per cell.

=====

4.
PmScN2: optimized geometry, PBE-GGA.

a b c (Å): 3.412 3.412 5.916
angles (deg): 73.24 73.24 60.00
Positions (direct):
1 Sc 0.500 0.500 0.500
2 N 0.242 0.242 0.273
3 N 0.758 0.758 0.727
4 Pm 0.000 0.000 0.000

Computed properties:
For the distance to the lowest polymorph of the same formula, the calculation gives 0.0 meV/atom. The calculation puts the formation energy from raw total energies at -1.564 eV per atom. The density of states at the Fermi level comes out at 0.046 states/eV/atom. The value obtained for the total magnetic moment is 0.00 Bohr magnetons per cell.

=====

5.
KRbMg2Bi: optimized geometry, PBE-GGA.

a b c (Å): 6.607 6.517 6.607
angles (deg): 90.00 90.00 90.00
Positions (direct):
1 Mg 0.000 0.000 0.500
2 Mg 0.500 0.000 0.000
3 K 0.500 0.500 0.500
4 Bi 0.000 0.500 0.000
5 Rb 0.000 0.000 0.000

Computed properties:
The density of states at the Fermi level comes out at 1.196 states/eV/atom. The electronic total energy is -1.18 eV/atom. The value obtained for the total magnetic moment is 0.00 Bohr magnetons per cell.

=====

6.
CrCu2Pt3: optimized geometry, PBE-GGA.

a b c (Å): 3.835 6.175 7.374
angles (deg): 90.00 90.00 71.91
Positions (direct):
1 Cr 0.321 0.357 0.000
2 Cr 0.679 0.643 0.000
3 Cu 0.000 0.000 0.000
4 Cu 0.000 0.000 0.500
5 Cu 0.332 0.335 0.500
6 Cu 0.668 0.665 0.500
7 Pt 0.834 0.332 0.755
8 Pt 0.500 0.000 0.244
9 Pt 0.166 0.668 0.245
10 Pt 0.834 0.332 0.245
11 Pt 0.166 0.668 0.755
12 Pt 0.500 0.000 0.756

Computed properties:
The density of states at the Fermi level comes out at 0.760 states/eV/atom. The electronic total energy is -6.18 eV/atom. The value obtained for the total magnetic moment is 0.00 Bohr magnetons per cell.

=====

7.
RbAlSe2: optimized geometry, PBE-GGA.

a b c (Å): 6.482 6.482 7.307
angles (deg): 63.67 63.67 90.00
Positions (direct):
1 Se 0.704 0.704 0.592
2 Se 0.046 0.546 0.908
3 Se 0.296 0.296 0.408
4 Se 0.454 0.954 0.092
5 Rb 0.000 0.000 0.000
6 Rb 0.750 0.250 0.500
7 Al 0.500 0.500 0.000
8 Al 0.250 0.750 0.500

Computed properties:
The calculation puts the formation energy from raw total energies at -0.747 eV per atom. The density of states at the Fermi level comes out at 0.000 states/eV/atom. The value obtained for the total magnetic moment is 0.00 Bohr magnetons per cell.

=====

8.
Cs6NaAu4: optimized geometry, PBE-GGA.

a b c (Å): 8.894 11.798 11.798
angles (deg): 120.00 90.00 90.00
Positions (direct):
1 Cs 0.466 0.727 0.863
2 Cs 0.466 0.137 0.273
3 Cs 0.466 0.137 0.863
4 Cs 0.966 0.273 0.137
5 Cs 0.966 0.863 0.727
6 Cs 0.966 0.863 0.137
7 Cs 0.631 0.938 0.469
8 Cs 0.631 0.531 0.062
9 Cs 0.631 0.531 0.469
10 Cs 0.131 0.062 0.531
11 Cs 0.131 0.469 0.938
12 Cs 0.131 0.469 0.531
13 Na 0.742 0.333 0.667
14 Na 0.242 0.667 0.333
15 Au 0.405 0.333 0.667
16 Au 0.905 0.667 0.333
17 Au 0.852 0.611 0.805
18 Au 0.852 0.195 0.389
19 Au 0.852 0.195 0.805
20 Au 0.352 0.389 0.195
21 Au 0.352 0.805 0.611
22 Au 0.352 0.805 0.195

Computed properties:
The density of states at the Fermi level comes out at 0.830 states/eV/atom. The electronic total energy is -2.02 eV/atom. The value obtained for the total magnetic moment is 0.00 Bohr magnetons per cell.

=====

9.
Ag2Ru: optimized geometry, PBE-GGA.

a b c (Å): 6.344 6.344 6.344
angles (deg): 90.00 90.00 90.00
Each line ends with the local moment (μB).
Positions (direct):
1 Ru 0.000 0.000 0.000  1.91
2 Ru 0.000 0.500 0.500  1.91
3 Ru 0.500 0.000 0.500  1.91
4 Ru 0.500 0.500 0.000  1.91
5 Ag 0.126 0.626 0.874  0.07
6 Ag 0.126 0.874 0.374  0.07
7 Ag 0.374 0.126 0.874  0.07
8 Ag 0.374 0.374 0.374  0.07
9 Ag 0.626 0.626 0.626  0.07
10 Ag 0.626 0.874 0.126  0.07
11 Ag 0.874 0.126 0.626  0.07
12 Ag 0.874 0.374 0.126  0.07

Computed properties:
For the distance to the lowest polymorph of the same formula, the calculation gives 961.0 meV/atom. The density of states at the Fermi level comes out at 0.597 states/eV/atom. The value obtained for the total magnetic moment is 8.33 Bohr magnetons per cell.

=====

10.
DyY2Pd3: optimized geometry, PBE-GGA.

a b c (Å): 3.443 5.019 15.057
angles (deg): 90.00 90.00 90.00
Positions (direct):
1 Dy 0.999 0.500 0.500
2 Dy 0.001 0.000 0.000
3 Y 0.001 0.000 0.667
4 Y 0.001 0.000 0.333
5 Y 0.999 0.500 0.167
6 Y 0.999 0.500 0.833
7 Pd 0.499 0.500 0.665
8 Pd 0.500 0.000 0.500
9 Pd 0.499 0.500 0.335
10 Pd 0.501 0.000 0.165
11 Pd 0.500 0.500 0.000
12 Pd 0.501 0.000 0.835

Computed properties:
The density of states at the Fermi level comes out at 0.461 states/eV/atom. The electronic total energy is -6.40 eV/atom. The value obtained for the total magnetic moment is 0.00 Bohr magnetons per cell.

=====

11.
VAgH2: optimized geometry, PBE-GGA.

a b c (Å): 2.894 2.894 5.477
angles (deg): 74.68 74.68 60.00
Positions (direct):
1 H 0.125 0.125 0.626
2 H 0.875 0.875 0.374
3 Ag 0.000 0.000 0.000
4 V 0.500 0.500 0.500

Computed properties:
For the distance to the lowest polymorph of the same formula, the calculation gives 0.0 meV/atom. The density of states at the Fermi level comes out at 0.576 states/eV/atom. The value obtained for the total magnetic moment is 0.00 Bohr magnetons per cell.

=====

12.
ZrTe2P: optimized geometry, PBE-GGA.

a b c (Å): 5.851 5.851 5.851
angles (deg): 137.18 137.18 62.17
Positions (direct):
1 Zr 0.500 0.500 0.000
2 Te 0.000 0.000 0.000
3 Te 0.250 0.750 0.500
4 P 0.750 0.250 0.500

Computed properties:
For the distance to the lowest polymorph of the same formula, the calculation gives 581.3 meV/atom. The calculation puts the formation energy from raw total energies at 0.025 eV per atom. The density of states at the Fermi level comes out at 0.703 states/eV/atom. The value obtained for the total magnetic moment is 0.00 Bohr magnetons per cell.